Here is crystalline Ba2UCuTe6 at its relaxed geometry from the Alexandria database. Energies are from GGA-PBE. Values from VASP.

Quantum ESPRESSO input file:
```
&SYSTEM
  ibrav = 0, nat = 20, ntyp = 4
/
ATOMIC_SPECIES
Ba 137.33 Ba.upf
U 238.03 U.upf
Cu 63.55 Cu.upf
Te 127.60 Te.upf
CELL_PARAMETERS angstrom
7.9231 0.0000 0.0000
0.0000 11.2482 0.0000
0.0000 0.0000 7.9251
ATOMIC_POSITIONS crystal
Ba 0.2500 0.0008 0.2497
Ba 0.2500 0.4992 0.2497
Ba 0.7500 0.5008 0.7503
Ba 0.7500 0.9992 0.7503
U 0.2500 0.7500 0.7503
U 0.7500 0.2500 0.2497
Cu 0.2500 0.2500 0.7493
Cu 0.7500 0.7500 0.2507
Te 0.0081 0.2500 0.5081
Te 0.0085 0.2500 0.9915
Te 0.2500 0.0076 0.7505
Te 0.2500 0.4924 0.7505
Te 0.4919 0.2500 0.5081
Te 0.4915 0.2500 0.9915
Te 0.5085 0.7500 0.0085
Te 0.5081 0.7500 0.4919
Te 0.7500 0.5076 0.2495
Te 0.7500 0.9924 0.2495
Te 0.9915 0.7500 0.0085
Te 0.9919 0.7500 0.4919
```

Space-group type: Pmmn
Raw total energy, eV/atom: -4.586